No. 1
The following is a DFT calculation (PBE) of a geometry-optimized Na2Ac2UO6 structure.

Structure (POSCAR):
```
Na2Ac2UO6
1.0
-2.235 -0.491 6.110
6.263 -1.264 -1.321
0.434 5.943 -0.122
Na Ac U O
2 2 1 6
direct
0.860 0.140 0.000 Na
0.140 0.860 0.000 Na
0.335 0.665 0.500 Ac
0.665 0.335 0.500 Ac
0.000 0.000 0.500 U
0.766 0.766 0.704 O
0.029 0.346 0.690 O
0.234 0.234 0.296 O
0.346 0.029 0.690 O
0.971 0.654 0.310 O
0.654 0.971 0.310 O
```

Values from the calculation:
ΔE_f (raw)   -61.918 kcal/mol of atoms
Calculated total energy   -7.403 eV/atom


No. 2
The following is a DFT calculation (PBE) of a geometry-optimized RbMnS2 structure.

Structure (POSCAR):
```
RbMnS2
1.0
-2.914 1.131 -6.028
2.522 -5.863 -2.319
-3.828 -4.467 -2.812
S Mn Rb
4 2 2
direct
0.477 0.125 0.250 S
0.273 0.625 0.250 S
0.375 0.523 0.750 S
0.875 0.727 0.750 S
0.500 0.500 0.000 Mn
0.250 0.750 0.500 Mn
0.000 0.000 0.000 Rb
0.750 0.250 0.500 Rb
```

Values from the calculation:
ΔE_f (raw)   -15.898 kcal/mol of atoms
Calculated total energy   -5.287 eV/atom


No. 3
The following is a DFT calculation (PBE) of a geometry-optimized CrGa5Rh6 structure.

Structure (POSCAR):
```
CrGa5Rh6
1.0
-3.718 2.122 -0.338
-1.417 -1.576 5.688
0.990 6.403 2.021
Cr Rh Ga
1 6 5
direct
0.000 0.000 0.000 Cr
0.831 0.749 0.338 Rh
0.831 0.251 0.338 Rh
0.500 0.257 0.000 Rh
0.500 0.743 0.000 Rh
0.169 0.749 0.662 Rh
0.169 0.251 0.662 Rh
0.666 0.500 0.668 Ga
0.339 0.000 0.321 Ga
0.000 0.500 0.000 Ga
0.661 0.000 0.679 Ga
0.334 0.500 0.332 Ga
```

Values from the calculation:
Calculated total energy   -6.342 eV/atom


No. 4
The following is a DFT calculation (PBE) of a geometry-optimized SrPm2Ta3N8 structure.

Structure (POSCAR):
```
SrPm2Ta3N8
1.0
6.510 0.000 0.000
3.255 5.638 0.000
3.255 1.879 5.736
Sr Pm Ta N
1 2 3 8
direct
0.873 0.873 0.382 Sr
0.123 0.123 0.631 Pm
0.498 0.498 0.505 Pm
0.501 0.992 0.005 Ta
0.992 0.501 0.005 Ta
0.501 0.501 0.005 Ta
0.266 0.266 0.201 N
0.730 0.730 0.811 N
0.251 0.251 0.800 N
0.699 0.251 0.800 N
0.251 0.699 0.800 N
0.747 0.313 0.193 N
0.313 0.747 0.193 N
0.747 0.747 0.193 N
```

Values from the calculation:
ΔE_f (raw)   -23.563 kcal/mol of atoms
Calculated total energy   -9.118 eV/atom


No. 5
The following is a DFT calculation (PBE) of a geometry-optimized TaAg2I structure.

Structure (POSCAR):
```
TaAg2I
1.0
-1.418 -4.511 -1.554
0.490 -3.936 3.007
-4.037 -2.152 1.960
I Ag Ta
1 2 1
direct
0.000 0.000 0.000 I
0.250 0.250 0.250 Ag
0.750 0.750 0.750 Ag
0.500 0.500 0.500 Ta
```

Values from the calculation:
ΔE_f (raw)   27.880 kcal/mol of atoms
Calculated total energy   -3.567 eV/atom


No. 6
The following is a DFT calculation (PBE) of a geometry-optimized UGePtAu structure.

Structure (POSCAR):
```
UGePtAu
1.0
-2.285 -3.890 1.666
0.301 -4.169 -2.379
2.515 -3.654 1.859
Au Ge U Pt
1 1 1 1
direct
0.250 0.250 0.250 Au
0.000 0.000 0.000 Ge
0.500 0.500 0.500 U
0.750 0.750 0.750 Pt
```

Values from the calculation:
Calculated total energy   -6.593 eV/atom


No. 7
The following is a DFT calculation (PBE) of a geometry-optimized Tb2Dy2Tl structure.

Structure (POSCAR):
```
Tb2Dy2Tl
1.0
-1.702 -4.376 0.408
4.534 -1.140 6.681
-6.103 2.804 4.620
Tb Dy Tl
4 4 2
direct
0.500 0.152 0.652 Tb
0.500 0.652 0.848 Tb
0.500 0.848 0.348 Tb
0.500 0.348 0.152 Tb
0.000 0.351 0.851 Dy
0.000 0.851 0.649 Dy
0.000 0.649 0.149 Dy
0.000 0.149 0.351 Dy
0.000 0.000 0.000 Tl
0.000 0.500 0.500 Tl
```

Values from the calculation:
Calculated total energy   -4.129 eV/atom


No. 8
The following is a DFT calculation (PBE) of a geometry-optimized FeMoI2N structure.

Structure (POSCAR):
```
FeMoI2N
1.0
5.377 0.000 0.000
0.000 5.377 0.000
0.000 0.000 3.474
I Mo Fe N
2 1 1 1
direct
0.000 0.500 0.000 I
0.500 0.000 0.000 I
0.500 0.500 0.500 Mo
0.000 0.000 0.000 Fe
0.000 0.000 0.500 N
```

Values from the calculation:
ΔE_f (raw)   20.990 kcal/mol of atoms
Calculated total energy   -5.234 eV/atom


No. 9
The following is a DFT calculation (PBE) of a geometry-optimized Li4ErSb2 structure.

Structure (POSCAR):
```
Li4ErSb2
1.0
4.324 0.000 1.351
1.951 3.859 1.351
-0.256 -0.158 8.416
Li Er Sb
4 1 2
direct
0.861 0.861 0.417 Li
0.139 0.139 0.583 Li
0.572 0.572 0.284 Li
0.428 0.428 0.716 Li
0.000 0.000 0.000 Er
0.743 0.743 0.772 Sb
0.257 0.257 0.228 Sb
```

Values from the calculation:
ΔE_f (raw)   -15.933 kcal/mol of atoms
Calculated total energy   -3.614 eV/atom


No. 10
The following is a DFT calculation (PBE) of a geometry-optimized Ba2HgPt3Pb4 structure.

Structure (POSCAR):
```
Ba2HgPt3Pb4
1.0
5.028 0.000 0.000
0.000 5.028 0.000
0.000 0.000 11.076
Ba Hg Pt Pb
2 1 3 4
direct
0.500 0.000 0.256 Ba
0.000 0.500 0.744 Ba
0.500 0.500 0.500 Hg
0.000 0.000 0.500 Pt
0.500 0.000 0.881 Pt
0.000 0.500 0.119 Pt
0.500 0.500 0.000 Pb
0.000 0.000 0.000 Pb
0.500 0.000 0.634 Pb
0.000 0.500 0.366 Pb
```

Values from the calculation:
Calculated total energy   -4.169 eV/atom


No. 11
The following is a DFT calculation (PBE) of a geometry-optimized ScReSb structure.

Structure (POSCAR):
```
ScReSb
1.0
-1.767 1.918 3.694
-4.435 -0.327 0.815
-1.490 -2.585 3.398
Re Sb Sc
1 1 1
direct
0.750 0.750 0.750 Re
0.000 0.000 0.000 Sb
0.500 0.500 0.500 Sc
```

Values from the calculation:
ΔE_f (raw)   2.386 kcal/mol of atoms
Calculated total energy   -7.531 eV/atom


No. 12
The following is a DFT calculation (PBE) of a geometry-optimized ScZnSb structure.

Structure (POSCAR):
```
ScZnSb
1.0
3.320 0.000 0.000
-1.660 2.875 0.000
0.000 0.000 7.113
Sb Sc Zn
1 1 1
direct
0.000 0.000 0.005 Sb
0.667 0.333 0.342 Sc
0.333 0.667 0.652 Zn
```

Values from the calculation:
ΔE_f (raw)   -2.398 kcal/mol of atoms
Calculated total energy   -4.013 eV/atom


No. 13
The following is a DFT calculation (PBE) of a geometry-optimized Mn2CrP structure.

Structure (POSCAR):
```
Mn2CrP
1.0
7.796 0.001 0.001
7.361 2.567 0.001
7.361 1.247 2.244
Cr Mn P
1 2 1
direct
0.752 0.752 0.752 Cr
0.999 0.999 0.999 Mn
0.247 0.247 0.247 Mn
0.502 0.502 0.502 P
```

Values from the calculation:
Calculated total energy   -8.296 eV/atom


No. 14
The following is a DFT calculation (PBE) of a geometry-optimized Tb2ZrIn structure.

Structure (POSCAR):
```
Tb2ZrIn
1.0
-1.761 4.107 -0.822
-3.707 -1.885 -1.476
-3.284 -1.819 10.567
Tb Zr In
4 2 2
direct
0.572 0.250 0.145 Tb
0.428 0.750 0.855 Tb
0.064 0.750 0.129 Tb
0.936 0.250 0.871 Tb
0.694 0.750 0.385 Zr
0.306 0.250 0.615 Zr
0.175 0.250 0.348 In
0.825 0.750 0.652 In
```

Values from the calculation:
Calculated total energy   -5.095 eV/atom


No. 15
The following is a DFT calculation (PBE) of a geometry-optimized VSb2I structure.

Structure (POSCAR):
```
VSb2I
1.0
-0.335 -3.042 1.876
2.924 -1.853 0.951
1.344 3.139 8.763
I Sb V
1 2 1
direct
0.500 0.500 0.500 I
0.269 0.269 0.192 Sb
0.731 0.731 0.808 Sb
0.000 0.000 0.000 V
```

Values from the calculation:
ΔE_f (raw)   4.209 kcal/mol of atoms
Calculated total energy   -4.546 eV/atom


No. 16
The following is a DFT calculation (PBE) of a geometry-optimized InCo2Cl structure.

Structure (POSCAR):
```
InCo2Cl
1.0
-2.557 1.625 -0.273
-0.496 -0.122 3.912
3.233 5.184 0.572
Cl Co In
1 2 1
direct
0.500 0.750 0.750 Cl
0.000 0.750 0.068 Co
0.000 0.750 0.432 Co
0.500 0.250 0.250 In
```

Values from the calculation:
ΔE_f (raw)   4.164 kcal/mol of atoms
Calculated total energy   -4.519 eV/atom


No. 17
The following is a DFT calculation (PBE) of a geometry-optimized LiGaCuSi structure.

Structure (POSCAR):
```
LiGaCuSi
1.0
4.299 0.000 0.000
2.150 3.723 0.000
2.150 1.241 3.510
Si Cu Ga Li
1 1 1 1
direct
0.250 0.250 0.250 Si
0.000 0.000 0.000 Cu
0.750 0.750 0.750 Ga
0.500 0.500 0.500 Li
```

Values from the calculation:
ΔE_f (raw)   -0.698 kcal/mol of atoms
Calculated total energy   -3.645 eV/atom


No. 18
The following is a DFT calculation (PBE) of a geometry-optimized ScFeBr structure.

Structure (POSCAR):
```
ScFeBr
1.0
4.579 0.000 0.000
2.290 3.966 0.000
2.290 1.322 3.739
Br Fe Sc
1 1 1
direct
0.000 0.000 0.000 Br
0.500 0.500 0.500 Fe
0.750 0.750 0.750 Sc
```

Values from the calculation:
ΔE_f (raw)   7.995 kcal/mol of atoms
Calculated total energy   -5.142 eV/atom


No. 19
The following is a DFT calculation (PBE) of a geometry-optimized Na2As2Os structure.

Structure (POSCAR):
```
Na2As2Os
1.0
-3.267 -5.174 -1.676
5.390 -3.342 -0.191
-0.571 -1.194 4.798
Na As Os
4 4 2
direct
0.182 0.682 0.500 Na
0.682 0.818 0.500 Na
0.818 0.318 0.500 Na
0.318 0.182 0.500 Na
0.358 0.858 0.000 As
0.858 0.642 0.000 As
0.642 0.142 0.000 As
0.142 0.358 0.000 As
0.000 0.000 0.000 Os
0.500 0.500 0.000 Os
```

Values from the calculation:
Calculated total energy   -4.837 eV/atom


No. 20
The following is a DFT calculation (PBE) of a geometry-optimized SmUCoS4 structure.

Structure (POSCAR):
```
SmUCoS4
1.0
6.341 0.000 0.136
0.000 5.712 0.000
-2.309 0.000 7.375
Sm U Co S
2 2 2 8
direct
0.740 0.750 0.937 Sm
0.260 0.250 0.063 Sm
0.755 0.750 0.444 U
0.245 0.250 0.556 U
0.238 0.750 0.332 Co
0.762 0.250 0.668 Co
0.017 0.509 0.749 S
0.983 0.009 0.251 S
0.983 0.491 0.251 S
0.017 0.991 0.749 S
0.430 0.750 0.129 S
0.570 0.250 0.871 S
0.428 0.750 0.607 S
0.572 0.250 0.393 S
```

Values from the calculation:
ΔE_f (raw)   -30.409 kcal/mol of atoms
Calculated total energy   -6.979 eV/atom


No. 21
The following is a DFT calculation (PBE) of a geometry-optimized Sm2Ge3Ir2 structure.

Structure (POSCAR):
```
Sm2Ge3Ir2
1.0
-1.434 -2.937 2.660
-1.966 -4.086 -5.570
8.891 -2.500 -1.304
Sm Ge Ir
4 6 4
direct
0.156 0.250 0.313 Sm
0.844 0.750 0.687 Sm
0.941 0.250 0.883 Sm
0.059 0.750 0.117 Sm
0.225 0.750 0.450 Ge
0.775 0.250 0.550 Ge
0.564 0.434 0.128 Ge
0.436 0.566 0.872 Ge
0.436 0.934 0.872 Ge
0.564 0.066 0.128 Ge
0.694 0.948 0.388 Ir
0.306 0.052 0.612 Ir
0.306 0.448 0.612 Ir
0.694 0.552 0.388 Ir
```

Values from the calculation:
Calculated total energy   -6.595 eV/atom


No. 22
The following is a DFT calculation (PBE) of a geometry-optimized NaReAsSe2 structure.

Structure (POSCAR):
```
NaReAsSe2
1.0
5.088 0.000 0.000
0.000 5.088 0.000
0.000 0.000 4.778
Re As Se Na
1 1 2 1
direct
0.000 0.000 0.000 Re
0.000 0.000 0.500 As
0.000 0.500 0.000 Se
0.500 0.000 0.000 Se
0.500 0.500 0.500 Na
```

Values from the calculation:
ΔE_f (raw)   3.684 kcal/mol of atoms
Calculated total energy   -4.917 eV/atom


No. 23
The following is a DFT calculation (PBE) of a geometry-optimized Na3CrIn3S8 structure.

Structure (POSCAR):
```
Na3CrIn3S8
1.0
7.495 0.000 0.000
-3.747 6.492 -0.024
0.000 -4.305 6.855
Na Cr In S
3 1 3 8
direct
0.000 0.000 0.000 Na
0.000 0.500 0.000 Na
0.500 0.500 0.000 Na
0.000 0.000 0.500 Cr
0.500 0.000 0.500 In
0.500 0.500 0.500 In
0.000 0.500 0.500 In
0.260 0.519 0.279 S
0.740 0.481 0.721 S
0.779 0.557 0.296 S
0.221 0.443 0.704 S
0.779 0.017 0.296 S
0.221 0.983 0.704 S
0.239 0.017 0.296 S
0.761 0.983 0.704 S
```

Values from the calculation:
ΔE_f (raw)   -17.354 kcal/mol of atoms
Calculated total energy   -4.407 eV/atom


No. 24
The following is a DFT calculation (PBE) of a geometry-optimized LiAcCdAg structure.

Structure (POSCAR):
```
LiAcCdAg
1.0
5.340 0.000 0.000
2.670 4.624 0.000
2.670 1.541 4.360
Ac Li Ag Cd
1 1 1 1
direct
0.000 0.000 0.000 Ac
0.500 0.500 0.500 Li
0.250 0.250 0.250 Ag
0.750 0.750 0.750 Cd
```

Values from the calculation:
Calculated total energy   -2.613 eV/atom


No. 25
The following is a DFT calculation (PBE) of a geometry-optimized TcHgMo2 structure.

Structure (POSCAR):
```
TcHgMo2
1.0
3.946 0.000 0.000
0.000 2.960 0.000
0.000 2.924 5.840
Hg Mo Tc
1 2 1
direct
0.500 0.751 0.750 Hg
0.000 0.986 0.037 Mo
0.500 0.205 0.257 Mo
0.000 0.558 0.456 Tc
```

Values from the calculation:
Calculated total energy   -7.706 eV/atom


No. 26
The following is a DFT calculation (PBE) of a geometry-optimized Cr2OsPb structure.

Structure (POSCAR):
```
Cr2OsPb
1.0
-2.183 2.023 3.515
-4.022 -1.590 -1.582
0.347 -2.556 1.687
Cr Os Pb
2 1 1
direct
0.000 0.000 0.000 Cr
0.500 0.500 0.000 Cr
0.500 0.000 0.500 Os
0.000 0.500 0.500 Pb
```

Values from the calculation:
Calculated total energy   -7.779 eV/atom